The following is a meta-GGA SCAN calculation of AlAu at its PBEsol-relaxed geometry, from the Alexandria database.

Results
ΔH_f (0 K) ... -578 meV/atom
SG ... Cmcm, No. 63
Fermi-level density of states ... 0.975 states/eV/cell

Cell lengths 3.168, 4.107, 5.339 Å; angles 90.00, 107.26, 90.00 degrees
Sites, in units of the cell vectors:
Au 0.905 0.750 0.811
Au 0.095 0.250 0.189
Al 0.654 0.750 0.307
Al 0.346 0.250 0.693

The following is a meta-GGA SCAN calculation of Pt4Rh3 at its PBEsol-relaxed geometry, from the Alexandria database.

Results
ΔH_f (0 K) ... 32 meV/atom
SG ... I4/mmm, No. 139
Fermi-level density of states ... 6.050 states/eV/cell

Cell lengths 3.298, 3.298, 9.645 Å; angles 99.85, 99.85, 90.00 degrees
Sites, in units of the cell vectors:
Pt 0.144 0.144 0.289
Rh 0.284 0.284 0.568
Pt 0.429 0.429 0.858
Rh 0.716 0.716 0.432
Rh 0.000 0.000 0.000
Pt 0.856 0.856 0.711
Pt 0.571 0.571 0.142

Number 1 is which compound?
AlAu